Compound: Pm2CoSi3Ni4
Source: Alexandria
Functional: PBE-GGA
Structure: relaxed

Cell: 4.033 4.033 9.526 Å, 90.00 90.00 90.00°
Space group P-4m2 (No. 115)
Inequivalent atoms, fractional coordinates:
Pm 0.000 0.500 0.248 (multiplicity 2)
Co 0.500 0.500 0.000 (multiplicity 1)
Si 0.000 0.000 0.000 (multiplicity 1)
Si 0.000 0.500 0.625 (multiplicity 2)
Ni 0.000 0.000 0.500 (multiplicity 1)
Ni 0.000 0.500 0.873 (multiplicity 2)
Ni 0.500 0.500 0.500 (multiplicity 1)

## Properties
- Formation energy (no corrections): -650.4 meV per atom


Compound: TaRh2Cl
Source: Alexandria
Functional: PBE-GGA
Structure: relaxed

Cell: 6.291 6.291 6.291 Å, 90.00 90.00 90.00°
Space group F-43m (No. 216)
Inequivalent atoms, fractional coordinates:
Ta 0.000 0.000 0.000 (multiplicity 4)
Rh 0.000 0.000 0.500 (multiplicity 4)
Rh 0.250 0.250 0.250 (multiplicity 4)
Cl 0.250 0.250 0.750 (multiplicity 4)

## Properties
- Formation energy (no corrections): 277.3 meV per atom
- Distance to the lowest polymorph of the same formula: 622 meV per atom


Compound: CePm3Y3S8
Source: Alexandria
Functional: PBE-GGA
Structure: relaxed

Cell: 7.9412 7.9412 19.5166 Å, 90.00 90.00 120.00°
Space group R-3m (No. 166, hexagonal axes)
Inequivalent atoms, fractional coordinates:
Ce 0.0000 0.0000 0.0000 (multiplicity 3)
Pm 0.0000 0.5000 0.5000 (multiplicity 9)
Y 0.0000 0.5000 0.0000 (multiplicity 9)
S 0.0000 0.0000 0.2534 (multiplicity 6)
S 0.0089 0.5044 0.2515 (multiplicity 18)

## Properties
- Formation energy (no corrections): -2029.0 meV per atom


Compound: CdGePt3
Source: Alexandria
Functional: PBE-GGA
Structure: relaxed

Cell: 5.656 5.693 7.128 Å, 84.74 66.71 60.42°
Space group P1 (No. 1)
Inequivalent atoms, fractional coordinates:
Cd 0.000 0.000 0.000 (multiplicity 1)
Cd 0.486 0.633 0.394 (multiplicity 1)
Ge 0.348 0.165 0.142 (multiplicity 1)
Ge 0.932 0.448 0.684 (multiplicity 1)
Pt 0.460 0.141 0.454 (multiplicity 1)
Pt 0.501 0.513 0.994 (multiplicity 1)
Pt 0.633 0.956 0.785 (multiplicity 1)
Pt 0.946 0.141 0.450 (multiplicity 1)
Pt 0.985 0.663 0.366 (multiplicity 1)
Pt 0.998 0.509 0.992 (multiplicity 1)

## Properties
- Calculated formation energy: -303.9 meV per atom
- Distance to the lowest polymorph of the same formula: 0 meV per atom


Compound: ThZrTiNb
Source: Alexandria
Functional: PBE-GGA
Structure: relaxed

Cell: 7.068 7.068 7.068 Å, 90.00 90.00 90.00°
Space group F-43m (No. 216)
Inequivalent atoms, fractional coordinates:
Th 0.000 0.000 0.000 (multiplicity 4)
Zr 0.000 0.000 0.500 (multiplicity 4)
Ti 0.250 0.250 0.250 (multiplicity 4)
Nb 0.250 0.250 0.750 (multiplicity 4)

## Properties
- Calculated formation energy: 141.6 meV per atom


Compound: Sm14TmZr
Source: Alexandria
Functional: PBE-GGA
Structure: relaxed

Cell: 7.185 7.185 10.130 Å, 90.00 90.00 90.00°
Space group P4/mmm (No. 123)
Inequivalent atoms, fractional coordinates:
Sm 0.000 0.000 0.000 (multiplicity 1)
Sm 0.000 0.500 0.000 (multiplicity 2)
Sm 0.000 0.500 0.500 (multiplicity 2)
Sm 0.245 0.245 0.257 (multiplicity 8)
Sm 0.500 0.500 0.000 (multiplicity 1)
Tm 0.500 0.500 0.500 (multiplicity 1)
Zr 0.000 0.000 0.500 (multiplicity 1)

## Properties
- Calculated formation energy: 43.3 meV per atom


Compound: BaUVN4
Source: Alexandria
Functional: PBE-GGA
Structure: relaxed

Cell: 5.830 5.742 7.464 Å, 90.00 108.72 90.00°
Space group P2_1/m (No. 11)
Inequivalent atoms, fractional coordinates:
Ba 0.206 0.250 0.427 (multiplicity 2)
U 0.287 0.250 0.955 (multiplicity 2)
V 0.258 0.750 0.165 (multiplicity 2)
N 0.034 0.750 0.942 (multiplicity 2)
N 0.045 0.750 0.300 (multiplicity 2)
N 0.468 0.508 0.181 (multiplicity 4)

## Properties
- Formation energy (no corrections): -1031.8 meV per atom


Compound: BeCoTc2
Source: Alexandria
Functional: PBE-GGA
Structure: relaxed

Cell: 3.518 3.518 17.260 Å, 90.00 90.00 90.00°
Space group I-42d (No. 122)
Inequivalent atoms, fractional coordinates:
Be 0.000 0.000 0.000 (multiplicity 4)
Co 0.000 0.000 0.500 (multiplicity 4)
Tc 0.232 0.250 0.125 (multiplicity 8)

## Properties
- Calculated formation energy: 532.0 meV per atom
- Distance to the lowest polymorph of the same formula: 594 meV per atom


Calculated calculated total energy, -62.51, -109.17, -309.10, -50.35, -133.46, -78.39, -125.71, -117.74 eV/cell (same order as the records).